(1)
HfBe3Zn | Alexandria | GGA-PBE | optimized geometry; crystal system = cubic; calculated formation energy = 1.826 eV/atom
1.0
4.740 0.000 0.000
0.000 4.740 0.000
0.000 0.000 4.740
Hf Be Zn
1 3 1
Cartesian
0.000 0.000 0.000 Hf
0.000 0.000 2.370 Be
0.000 2.370 0.000 Be
2.370 0.000 0.000 Be
2.370 2.370 2.370 Zn

***

(2)
Li2VGeH | Alexandria | GGA-PBE | optimized geometry; energy = -4.3940 eV/atom; crystal system = tetragonal
1.0
3.695 0.000 0.000
0.000 3.695 0.000
0.000 0.000 4.214
Li V Ge H
2 1 1 1
Cartesian
0.000 1.848 0.000 Li
1.848 0.000 0.000 Li
0.000 0.000 2.107 V
1.848 1.848 2.107 Ge
0.000 0.000 0.000 H

***

no.,density (g cm⁻³)
1,4.2
2,4.0